VASP calculation (PBE) on a relaxed structure of Re2MoAs.

Cell lengths 5.104, 5.104, 5.104 Å; angles 136.96, 136.96, 62.49 degrees
Fractional positions:
Re  0.000  0.000  0.000
Re  0.500  0.500  0.000
Mo  0.750  0.250  0.500
As  0.250  0.750  0.500

Output
space-group type	I4/mmm (139)
crystal system	tetragonal

VASP calculation (PBE) on a relaxed structure of ReMoAs3.

Cell lengths 4.822, 4.822, 4.822 Å; angles 90.00, 90.00, 90.00 degrees
Each line ends with the local moment (μB).
Fractional positions:
As  0.000  0.500  0.000  -0.18
As  0.000  0.000  0.500  -0.17
As  0.500  0.000  0.000  -0.09
Re  0.000  0.000  0.000  0.34
Mo  0.500  0.500  0.500  3.26

Output
space-group type	Pm-3m (221)
crystal system	cubic

VASP calculation (PBE) on a relaxed structure of ReMo2As.

Cell lengths 8.792, 8.792, 8.792 Å; angles 18.97, 18.97, 18.97 degrees
Fractional positions:
Re  0.499  0.499  0.499
Mo  0.002  0.002  0.002
Mo  0.248  0.248  0.248
As  0.751  0.751  0.751

Output
space-group type	R3m (160)
crystal system	trigonal

Number 1: E_form 0.4246 eV per atom, Fermi-level density of states 4.2 states/eV per cell. Number 2: E_form 1.1501 eV per atom, Fermi-level density of states 3.8 states/eV per cell. Number 3: E_form 0.2818 eV per atom, Fermi-level density of states 4.5 states/eV per cell.